5
Lattice="-1.740 -4.768 0.083 2.821 -0.998 1.827 -2.461 0.973 4.332" Properties=species:S:1:pos:R:3 comment="Zn2TcBiH (PBE, relaxed)" density_g_cm3=8.066 crystal_system=tetragonal e_tot_ev_per_cell=-17.18 dos_ef_per_ev_fu=3.27 pbc="T T T"
Tc 0.000 0.000 0.000
Zn -0.870 -2.384 0.041
Zn -1.231 0.486 2.166
Bi -0.690 -2.396 3.121
H 1.410 -0.499 0.913



5
Lattice="4.733 0.000 0.000 0.000 4.733 0.000 0.000 0.000 4.553" Properties=species:S:1:pos:R:3 comment="Y2ScAlH (PBE, relaxed)" density_g_cm3=4.083 crystal_system=tetragonal e_tot_ev_per_cell=-27.89 dos_ef_per_ev_fu=4.66 pbc="T T T"
H 0.000 0.000 0.000
Al 2.366 2.366 2.277
Y 0.000 2.366 0.000
Y 2.366 0.000 0.000
Sc 0.000 0.000 2.277



8
Lattice="7.599 0.000 0.000 0.000 7.599 0.000 0.000 0.000 4.418" Properties=species:S:1:pos:R:3 comment="AlSb (PBE, relaxed)" density_g_cm3=3.872 crystal_system=tetragonal e_tot_ev_per_cell=-32.27 raw_formation_energy_kj_per_mol_atoms=-9.7 pbc="T T T"
Sb 2.396 2.396 0.000
Sb 6.196 1.404 2.209
Sb 5.204 5.204 0.000
Sb 1.404 6.196 2.209
Al 6.286 6.286 2.209
Al 5.113 2.487 0.000
Al 2.487 5.113 0.000
Al 1.313 1.313 2.209



10
Lattice="7.350 0.000 0.000 0.000 7.350 0.000 0.000 0.000 2.685" Properties=species:S:1:pos:R:3 comment="NaMn2Ni2 (PBE, relaxed)" density_g_cm3=5.730 crystal_system=tetragonal delta_e_f_ev_per_fu=1.1 e_tot_ev_per_cell=-60.26 dos_ef_per_ev_fu=2.21 pbc="T T T"
Mn 4.731 6.295 1.342
Mn 6.295 2.620 1.342
Mn 2.620 1.055 1.342
Mn 1.055 4.731 1.342
Na 3.675 3.675 0.000
Na 0.000 0.000 0.000
Ni 1.067 2.608 0.000
Ni 6.283 4.743 0.000
Ni 2.608 6.283 0.000
Ni 4.743 1.067 0.000



4
Lattice="3.212 0.000 0.000 0.000 3.212 0.000 0.000 0.000 7.235" Properties=species:S:1:pos:R:3 comment="CeGa2Pd (PBE, relaxed)" density_g_cm3=8.588 crystal_system=tetragonal delta_e_f_ev_per_fu=-2.3 e_tot_ev_per_cell=-19.49 dos_ef_per_ev_fu=3.96 pbc="T T T"
Ga 0.000 0.000 1.455
Ga 0.000 0.000 5.780
Ce 1.606 1.606 3.617
Pd 1.606 1.606 0.000



6
Lattice="4.424 0.000 0.003 0.000 5.051 -0.002 -2.218 0.006 6.172" Properties=species:S:1:pos:R:3 comment="KIrRu (PBE, relaxed)" density_g_cm3=8.000 crystal_system=monoclinic delta_e_f_ev_per_fu=1.5 e_tot_ev_per_cell=-35.45 dos_ef_per_ev_fu=1.98 pbc="T T T"
K 1.555 1.268 3.377
K -0.657 3.794 3.796
Ru 3.771 2.295 0.733
Ru 1.559 3.686 0.819
Ir 3.772 4.810 0.205
Ir 1.559 1.172 0.133



Question: Which formula does entry 4 have?
Answer: NaMn2Ni2



Repeat the sixth record exactly.
6
Lattice="4.424 0.000 0.003 0.000 5.051 -0.002 -2.218 0.006 6.172" Properties=species:S:1:pos:R:3 comment="KIrRu (PBE, relaxed)" density_g_cm3=8.000 crystal_system=monoclinic delta_e_f_ev_per_fu=1.5 e_tot_ev_per_cell=-35.45 dos_ef_per_ev_fu=1.98 pbc="T T T"
K 1.555 1.268 3.377
K -0.657 3.794 3.796
Ru 3.771 2.295 0.733
Ru 1.559 3.686 0.819
Ir 3.772 4.810 0.205
Ir 1.559 1.172 0.133